(1)
## BeZnCSO (GGA-PBE)

Data for an optimized crystal structure of BeZnCSO.

**Formation energy (no corrections)**: -0.291 eV per atom
**Energy relative to the lowest polymorph listed for this composition**: 227 meV/atom
**Space-group type**: P1, No. 1

Cell lengths 3.4426, 3.4467, 11.6099 Å; angles 85.71, 81.65, 60.04 degrees
Element x y z (fractional)
Be 0.0000 0.0000 0.0000
Zn 0.1096 0.0083 0.7569
C 0.7564 0.1140 0.3362
S 0.6577 0.6663 0.0183
O 0.6303 0.2548 0.4287

=====

(2)
## CdSeN2O (GGA-PBE)

Data for an optimized crystal structure of CdSeN2O.

**Formation energy (no corrections)**: 1.867 eV per atom
**Space-group type**: P4/mmm, No. 123

Cell lengths 4.0646, 4.0646, 4.0101 Å; angles 90.00, 90.00, 90.00 degrees
Element x y z (fractional)
Cd 0.0000 0.0000 0.0000
Se 0.5000 0.5000 0.0000
N 0.0000 0.5000 0.5000
N 0.5000 0.0000 0.5000
O 0.5000 0.5000 0.5000

=====

(3)
## La3Sm4Ru4 (GGA-PBE)

Data for an optimized crystal structure of La3Sm4Ru4.

**Calculated formation energy**: -17.0 kJ per mole of atoms
**Space-group type**: Immm, No. 71

Cell lengths 9.5054, 9.5054, 9.5054 Å; angles 156.76, 123.00, 62.39 degrees
Element x y z (fractional)
La 0.0000 0.0000 0.0000
La 0.4012 0.9012 0.5000
La 0.5988 0.0988 0.5000
Sm 0.0205 0.3322 0.6883
Sm 0.3561 0.6678 0.6883
Sm 0.6439 0.3322 0.3117
Sm 0.9795 0.6678 0.3117
Ru 0.2533 0.2533 0.0000
Ru 0.2632 0.5000 0.7632
Ru 0.7368 0.5000 0.2368
Ru 0.7467 0.7467 0.0000

=====

(4)
## Si2RuPb (GGA-PBE)

Data for an optimized crystal structure of Si2RuPb.

**Formation energy (no corrections)**: 0.437 eV per atom
**Space-group type**: Imm2, No. 44

Cell lengths 5.0393, 5.0393, 5.0393 Å; angles 137.75, 116.95, 78.84 degrees
Element x y z (fractional)
Si 0.0000 0.0000 0.0000
Si 0.7881 0.2881 0.5000
Ru 0.6019 0.6019 0.0000
Pb 0.3001 0.8001 0.5000

=====

(5)
## Ba3AgO (GGA-PBE)

Data for an optimized crystal structure of Ba3AgO.

**Formation energy (no corrections)**: -1.022 eV per atom
**Energy relative to the lowest polymorph listed for this composition**: 0 meV/atom
**Space-group type**: C2/m, No. 12

Cell lengths 8.9945, 8.9945, 5.1674 Å; angles 90.57, 90.57, 74.19 degrees
Element x y z (fractional)
Ba 0.1051 0.1051 0.2921
Ba 0.1846 0.5782 0.2786
Ba 0.4218 0.8154 0.7214
Ba 0.5782 0.1846 0.2786
Ba 0.8154 0.4218 0.7214
Ba 0.8949 0.8949 0.7079
Ag 0.2794 0.2794 0.7567
Ag 0.7206 0.7206 0.2433
O 0.1648 0.8352 0.5000
O 0.8352 0.1648 0.5000

=====

(6)
## Er2MgSc3 (GGA-PBE)

Data for an optimized crystal structure of Er2MgSc3.

**Calculated formation energy**: 5.6 kJ per mole of atoms
**Energy relative to the lowest polymorph listed for this composition**: 36 meV/atom
**Space-group type**: C2/m, No. 12

Cell lengths 8.3457, 8.3457, 9.2703 Å; angles 122.95, 122.95, 36.56 degrees
Element x y z (fractional)
Er 0.0413 0.0413 0.3641
Er 0.3075 0.3075 0.6309
Er 0.6925 0.6925 0.3691
Er 0.9587 0.9587 0.6359
Mg 0.3816 0.3816 0.3637
Mg 0.6184 0.6184 0.6363
Sc 0.1340 0.1340 0.1246
Sc 0.2102 0.2102 0.8703
Sc 0.4434 0.4434 0.0954
Sc 0.5566 0.5566 0.9046
Sc 0.7898 0.7898 0.1297
Sc 0.8660 0.8660 0.8754

=====

Ρ? In order: 1.9; 5.9; 8.4; 8.1; 4.4; 5.2 g/cm3.